i | DFT (PBE-GGA) results for InSiTe2 after structural relaxation.

Results
- V (A^3/atom) = 27.000
- density of states at the Fermi level (states/eV/cell) = 11.27

```
data_InSiTe2
_chemical_formula_sum 'In3 Si3 Te6'
_cell_length_a 3.2018
_cell_length_b 3.2018
_cell_length_c 36.4944
_cell_angle_alpha 90.00
_cell_angle_beta 90.00
_cell_angle_gamma 120.00
_symmetry_space_group_name_H-M 'R -3 m'
_symmetry_Int_Tables_number 166
_symmetry_space_group_name_Hall '-R 3 2"'
loop_
_atom_site_label
_atom_site_fract_x
_atom_site_fract_y
_atom_site_fract_z
In1 0.0000 0.0000 0.0000
Si1 0.0000 0.0000 0.5000
Te1 0.0000 0.0000 0.4198
```



ii | DFT (PBE-GGA) results for InSiTe2 after structural relaxation.

Results
- V (A^3/atom) = 27.827
- density of states at the Fermi level (states/eV/cell) = 1.88

```
data_InSiTe2
_chemical_formula_sum 'In1 Si1 Te2'
_cell_length_a 3.115
_cell_length_b 4.089
_cell_length_c 8.738
_cell_angle_alpha 90.00
_cell_angle_beta 90.00
_cell_angle_gamma 90.00
_symmetry_space_group_name_H-M 'P m m m'
_symmetry_Int_Tables_number 47
loop_
_symmetry_equiv_pos_as_xyz
'x,y,z'
'-x,-y,-z'
'-x,-y,z'
'x,y,-z'
'x,-y,-z'
'-x,y,z'
'-x,y,-z'
'x,-y,z'
loop_
_atom_site_label
_atom_site_fract_x
_atom_site_fract_y
_atom_site_fract_z
In1 0.000 0.000 0.000
Si1 0.500 0.000 0.500
Te1 0.500 0.500 0.276
```



In terms of stability, ii leads; the second structure lies 276 meV/atom higher.